(1)
A relaxed HfPaCoIr crystal, computed with PBE.

Properties
ΔE_f ... -0.4109 eV per atom
Energy ... -37.1 eV for the cell shown
D(E_F) ... 1.720 states/eV per atom
M_tot ... 0.0 μB/f.u.

Lattice parameters (Å, degrees): 4.7062 4.7062 4.7062 60.00 60.00 60.00
Element x y z (fractional)
Hf1 0.0000 0.0000 0.0000
Pa1 0.5000 0.5000 0.5000
Co1 0.2500 0.2500 0.2500
Ir1 0.7500 0.7500 0.7500

(2)
A relaxed Hf2CoSnIr crystal, computed with PBE.

Properties
ΔE_f ... 0.1782 eV per atom
Energy ... -39.0 eV for the cell shown
D(E_F) ... 1.033 states/eV per atom
M_tot ... 0.0 μB/f.u.

Lattice parameters (Å, degrees): 4.6722 4.6722 4.5895 90.00 90.00 90.00
Element x y z (fractional)
Hf1 0.0000 0.5000 0.0000
Hf2 0.5000 0.0000 0.0000
Co1 0.0000 0.0000 0.0000
Sn1 0.0000 0.0000 0.5000
Ir1 0.5000 0.5000 0.5000

(3)
A relaxed HfTaCoIr2 crystal, computed with PBE.

Properties
ΔE_f ... 0.6101 eV per atom
Energy ... -43.6 eV for the cell shown
D(E_F) ... 1.293 states/eV per atom
M_tot ... 1.4 μB/f.u.

Lattice parameters (Å, degrees): 4.5359 4.5359 4.3952 90.00 90.00 90.00
Element x y z (fractional)
Hf1 0.0000 0.0000 0.0000
Ta1 0.5000 0.5000 0.0000
Co1 0.5000 0.5000 0.5000
Ir1 0.0000 0.5000 0.5000
Ir2 0.5000 0.0000 0.5000

(4)
A relaxed HfTaCo2Ir crystal, computed with PBE.

Properties
ΔE_f ... 0.9671 eV per atom
Energy ... -40.0 eV for the cell shown
D(E_F) ... 1.098 states/eV per atom
M_tot ... 3.2 μB/f.u.

Lattice parameters (Å, degrees): 4.5255 4.5255 4.7873 90.00 90.00 90.00
Element x y z (fractional)
Hf1 0.0000 0.0000 0.0000
Ta1 0.5000 0.5000 0.0000
Co1 0.0000 0.5000 0.5000
Co2 0.5000 0.0000 0.5000
Ir1 0.5000 0.5000 0.5000

(5)
A relaxed HfCoTeIr2 crystal, computed with PBE.

Properties
Formation energy from raw total energies ... 3.16 eV/f.u.
Energy ... -34.8 eV for the cell shown
D(E_F) ... 0.817 states/eV per atom
M_tot ... 1.7 μB/f.u.

Lattice parameters (Å, degrees): 4.5676 4.5676 4.6490 90.00 90.00 90.00
Element x y z (fractional)
Hf1 0.0000 0.0000 0.0000
Co1 0.0000 0.0000 0.5000
Te1 0.5000 0.5000 0.0000
Ir1 0.0000 0.5000 0.5000
Ir2 0.5000 0.0000 0.5000

(6)
A relaxed Hf2CoTeIr crystal, computed with PBE.

Properties
Formation energy from raw total energies ... 0.98 eV/f.u.
Energy ... -38.0 eV for the cell shown
D(E_F) ... 1.108 states/eV per atom
M_tot ... 0.0 μB/f.u.

Lattice parameters (Å, degrees): 4.7511 4.7511 4.5610 90.00 90.00 90.00
Element x y z (fractional)
Hf1 0.0000 0.5000 0.0000
Hf2 0.5000 0.0000 0.0000
Co1 0.0000 0.0000 0.0000
Te1 0.5000 0.5000 0.5000
Ir1 0.0000 0.0000 0.5000

(7)
A relaxed HfCoTeIr2 crystal, computed with PBE.

Properties
Formation energy from raw total energies ... 5.28 eV/f.u.
Energy ... -32.6 eV for the cell shown
D(E_F) ... 1.400 states/eV per atom
M_tot ... 1.1 μB/f.u.

Lattice parameters (Å, degrees): 4.8550 4.8550 4.4249 90.00 90.00 90.00
Element x y z (fractional)
Hf1 0.0000 0.0000 0.0000
Co1 0.5000 0.5000 0.0000
Te1 0.5000 0.5000 0.5000
Ir1 0.0000 0.5000 0.5000
Ir2 0.5000 0.0000 0.5000

(8)
A relaxed HfZnCoIr crystal, computed with PBE.

Properties
ΔE_f ... -0.5304 eV per atom
Energy ... -29.3 eV for the cell shown
D(E_F) ... 0.216 states/eV per atom
M_tot ... 0.0 μB/f.u.

Lattice parameters (Å, degrees): 4.3757 4.3757 4.3757 60.00 60.00 60.00
Element x y z (fractional)
Hf1 0.0000 0.0000 0.0000
Zn1 0.5000 0.5000 0.5000
Co1 0.2500 0.2500 0.2500
Ir1 0.7500 0.7500 0.7500

(9)
A relaxed HfZrCoIr crystal, computed with PBE.

Properties
ΔE_f ... -0.6165 eV per atom
Energy ... -36.9 eV for the cell shown
D(E_F) ... 0.831 states/eV per atom
M_tot ... 1.2 μB/f.u.

Lattice parameters (Å, degrees): 4.5901 4.5901 4.5901 60.00 60.00 60.00
Element x y z (fractional)
Hf1 0.0000 0.0000 0.0000
Zr1 0.5000 0.5000 0.5000
Co1 0.7500 0.7500 0.7500
Ir1 0.2500 0.2500 0.2500

(10)
A relaxed KHf2Co crystal, computed with PBE.

Properties
ΔE_f ... 0.9448 eV per atom
Energy ... -24.3 eV for the cell shown
D(E_F) ... 0.524 states/eV per atom
M_tot ... 0.0 μB/f.u.

Lattice parameters (Å, degrees): 4.7978 4.7978 4.7978 60.00 60.00 60.00
Element x y z (fractional)
K1 0.0000 0.0000 0.0000
Hf1 0.2500 0.2500 0.2500
Hf2 0.7500 0.7500 0.7500
Co1 0.5000 0.5000 0.5000

(11)
A relaxed KHf2Co crystal, computed with PBE.

Properties
ΔE_f ... 1.1150 eV per atom
Energy ... -47.3 eV for the cell shown
D(E_F) ... 0.795 states/eV per atom
M_tot ... 0.0 μB/f.u.

Lattice parameters (Å, degrees): 8.2163 8.2163 8.2163 134.22 134.22 66.74
Element x y z (fractional)
K1 0.3750 0.6250 0.7500
K2 0.6250 0.3750 0.2500
Hf1 0.0000 0.0000 0.0000
Hf2 0.0000 0.0000 0.5000
Hf3 0.0000 0.5000 0.0000
Hf4 0.5000 0.0000 0.5000
Co1 0.1250 0.8750 0.2500
Co2 0.8750 0.1250 0.7500

(12)
A relaxed K2HfCo crystal, computed with PBE.

Properties
ΔE_f ... 1.0204 eV per atom
Energy ... -30.3 eV for the cell shown
D(E_F) ... 0.953 states/eV per atom
M_tot ... 0.0 μB/f.u.

Lattice parameters (Å, degrees): 9.2425 9.2425 9.2425 93.36 93.36 151.98
Element x y z (fractional)
K1 0.3750 0.0367 0.1617
K2 0.7867 0.6250 0.6617
K3 0.8750 0.2133 0.8383
K4 0.9633 0.1250 0.3383
Hf1 0.2500 0.7500 0.5000
Hf2 0.5000 0.5000 0.0000
Co1 0.0000 0.0000 0.0000
Co2 0.7500 0.2500 0.5000

(13)
A relaxed KHfCo2 crystal, computed with PBE.

Properties
ΔE_f ... 1.0783 eV per atom
Energy ... -41.9 eV for the cell shown
D(E_F) ... 1.037 states/eV per atom
M_tot ... 0.8 μB/f.u.

Lattice parameters (Å, degrees): 5.9509 5.9509 5.9509 105.40 105.40 117.97
Element x y z (fractional)
K1 0.0000 0.0000 0.0000
K2 0.7500 0.2500 0.5000
Hf1 0.2500 0.7500 0.5000
Hf2 0.5000 0.5000 0.0000
Co1 0.1660 0.6250 0.0410
Co2 0.3750 0.4160 0.5410
Co3 0.5840 0.1250 0.9590
Co4 0.8750 0.8340 0.4590

(14)
A relaxed KHfCo3 crystal, computed with PBE.

Properties
ΔE_f ... 2.0111 eV per atom
Energy ... -22.3 eV for the cell shown
D(E_F) ... 0.968 states/eV per atom
M_tot ... 1.9 μB/f.u.

Lattice parameters (Å, degrees): 4.3726 4.3726 4.3726 90.00 90.00 90.00
Element x y z (fractional)
K1 0.0000 0.0000 0.0000
Hf1 0.5000 0.5000 0.5000
Co1 0.0000 0.0000 0.5000
Co2 0.0000 0.5000 0.0000
Co3 0.5000 0.0000 0.0000

(15)
A relaxed KHfCo2 crystal, computed with PBE.

Properties
ΔE_f ... 0.9320 eV per atom
Energy ... -21.5 eV for the cell shown
D(E_F) ... 0.765 states/eV per atom
M_tot ... 0.0 μB/f.u.

Lattice parameters (Å, degrees): 4.6095 4.6095 4.6095 60.00 60.00 60.00
Element x y z (fractional)
K1 0.0000 0.0000 0.0000
Hf1 0.5000 0.5000 0.5000
Co1 0.2500 0.2500 0.2500
Co2 0.7500 0.7500 0.7500

(16)
A relaxed KHfCo3 crystal, computed with PBE.

Properties
ΔE_f ... 1.2755 eV per atom
Energy ... -26.0 eV for the cell shown
D(E_F) ... 1.762 states/eV per atom
M_tot ... 2.2 μB/f.u.

Lattice parameters (Å, degrees): 4.7765 4.7765 4.7765 90.00 90.00 90.00
Element x y z (fractional)
K1 0.0000 0.0000 0.0000
Hf1 0.5000 0.5000 0.5000
Co1 0.0000 0.5000 0.5000
Co2 0.5000 0.0000 0.5000
Co3 0.5000 0.5000 0.0000

(17)
A relaxed K2HfCo crystal, computed with PBE.

Properties
ΔE_f ... 1.8763 eV per atom
Energy ... -11.7 eV for the cell shown
D(E_F) ... 1.877 states/eV per atom
M_tot ... 0.0 μB/f.u.

Lattice parameters (Å, degrees): 5.4684 5.4684 5.4684 60.00 60.00 60.00
Element x y z (fractional)
K1 0.2500 0.2500 0.2500
K2 0.7500 0.7500 0.7500
Hf1 0.0000 0.0000 0.0000
Co1 0.5000 0.5000 0.5000

(18)
A relaxed K2LiHfCo crystal, computed with PBE.

Properties
ΔE_f ... 1.0281 eV per atom
Energy ... -16.0 eV for the cell shown
D(E_F) ... 0.811 states/eV per atom
M_tot ... 0.0 μB/f.u.

Lattice parameters (Å, degrees): 6.9026 6.9026 4.4081 90.00 90.00 90.00
Element x y z (fractional)
K1 0.0000 0.5000 0.0000
K2 0.5000 0.0000 0.0000
Li1 0.0000 0.0000 0.5000
Hf1 0.5000 0.5000 0.0000
Co1 0.5000 0.5000 0.5000

(19)
A relaxed KNaHfCo2 crystal, computed with PBE.

Properties
ΔE_f ... 1.0527 eV per atom
Energy ... -21.3 eV for the cell shown
D(E_F) ... 0.931 states/eV per atom
M_tot ... 0.4 μB/f.u.

Lattice parameters (Å, degrees): 4.6828 4.6828 5.9848 90.00 90.00 90.00
Element x y z (fractional)
K1 0.0000 0.0000 0.0000
Na1 0.5000 0.5000 0.0000
Hf1 0.5000 0.5000 0.5000
Co1 0.0000 0.5000 0.5000
Co2 0.5000 0.0000 0.5000

(20)
A relaxed KHf2CoOs crystal, computed with PBE.

Properties
ΔE_f ... 1.3203 eV per atom
Energy ... -32.7 eV for the cell shown
D(E_F) ... 0.985 states/eV per atom
M_tot ... 0.0 μB/f.u.

Lattice parameters (Å, degrees): 4.8040 4.8040 4.5411 90.00 90.00 90.00
Element x y z (fractional)
K1 0.0000 0.0000 0.0000
Hf1 0.0000 0.5000 0.5000
Hf2 0.5000 0.0000 0.5000
Co1 0.0000 0.0000 0.5000
Os1 0.5000 0.5000 0.0000

(21)
A relaxed KHfCoS3 crystal, computed with PBE.

Properties
Formation energy from raw total energies ... -7.44 eV/f.u.
Energy ... -76.0 eV for the cell shown
D(E_F) ... 0.300 states/eV per atom
M_tot ... 1.5 μB/f.u.

Lattice parameters (Å, degrees): 8.5832 3.6486 9.1449 90.00 112.80 90.00
Element x y z (fractional)
K1 0.2168 0.2500 0.2441
K2 0.7832 0.7500 0.7559
Hf1 0.3132 0.7500 0.8356
Hf2 0.6868 0.2500 0.1644
Co1 0.0853 0.2500 0.5959
Co2 0.9147 0.7500 0.4041
S1 0.1193 0.2500 0.8585
S2 0.2011 0.7500 0.5338
S3 0.4655 0.7500 0.1476
S4 0.5345 0.2500 0.8524
S5 0.7989 0.2500 0.4662
S6 0.8807 0.7500 0.1415

(22)
A relaxed KHfCoSe3 crystal, computed with PBE.

Properties
Formation energy from raw total energies ... -6.35 eV/f.u.
Energy ... -69.9 eV for the cell shown
D(E_F) ... 0.351 states/eV per atom
M_tot ... 1.7 μB/f.u.

Lattice parameters (Å, degrees): 8.9437 3.7893 9.6273 90.00 113.65 90.00
Element x y z (fractional)
K1 0.2219 0.2500 0.2446
K2 0.7781 0.7500 0.7554
Hf1 0.3084 0.7500 0.8303
Hf2 0.6916 0.2500 0.1697
Co1 0.0812 0.2500 0.5912
Co2 0.9188 0.7500 0.4088
Se1 0.1116 0.2500 0.8554
Se2 0.2135 0.7500 0.5313
Se3 0.4636 0.7500 0.1452
Se4 0.5364 0.2500 0.8548
Se5 0.7865 0.2500 0.4687
Se6 0.8884 0.7500 0.1446

(23)
A relaxed KHfCoSe2 crystal, computed with PBE.

Properties
Formation energy from raw total energies ... 2.40 eV/f.u.
Energy ... -22.7 eV for the cell shown
D(E_F) ... 2.133 states/eV per atom
M_tot ... 3.5 μB/f.u.

Lattice parameters (Å, degrees): 5.1186 5.1186 7.6871 90.00 90.00 90.00
Element x y z (fractional)
K1 0.0000 0.0000 0.0000
Hf1 0.0000 0.0000 0.5000
Co1 0.5000 0.5000 0.0000
Se1 0.0000 0.5000 0.5000
Se2 0.5000 0.0000 0.5000

(24)
A relaxed La3HfCo crystal, computed with PBE.

Properties
ΔE_f ... 0.3028 eV per atom
Energy ... -30.3 eV for the cell shown
D(E_F) ... 1.299 states/eV per atom
M_tot ... 1.7 μB/f.u.

Lattice parameters (Å, degrees): 5.3332 5.3332 5.3332 90.00 90.00 90.00
Element x y z (fractional)
La1 0.0000 0.0000 0.5000
La2 0.0000 0.5000 0.0000
La3 0.5000 0.0000 0.0000
Hf1 0.5000 0.5000 0.5000
Co1 0.0000 0.0000 0.0000

(25)
A relaxed La2HfCo crystal, computed with PBE.

Properties
ΔE_f ... 0.4641 eV per atom
Energy ... -25.1 eV for the cell shown
D(E_F) ... 1.808 states/eV per atom
M_tot ... 0.0 μB/f.u.

Lattice parameters (Å, degrees): 5.2028 5.2028 5.2028 60.00 60.00 60.00
Element x y z (fractional)
La1 0.2500 0.2500 0.2500
La2 0.7500 0.7500 0.7500
Hf1 0.0000 0.0000 0.0000
Co1 0.5000 0.5000 0.5000

(26)
A relaxed La3HfCo crystal, computed with PBE.

Properties
ΔE_f ... 1.0813 eV per atom
Energy ... -26.4 eV for the cell shown
D(E_F) ... 1.888 states/eV per atom
M_tot ... 1.4 μB/f.u.

Lattice parameters (Å, degrees): 5.7037 5.7037 5.7037 90.00 90.00 90.00
Element x y z (fractional)
La1 0.0000 0.0000 0.5000
La2 0.0000 0.5000 0.0000
La3 0.5000 0.0000 0.0000
Hf1 0.0000 0.0000 0.0000
Co1 0.5000 0.5000 0.5000

(27)
A relaxed La2HfCo crystal, computed with PBE.

Properties
ΔE_f ... 0.4878 eV per atom
Energy ... -25.0 eV for the cell shown
D(E_F) ... 1.240 states/eV per atom
M_tot ... 0.0 μB/f.u.

Lattice parameters (Å, degrees): 10.2596 10.2596 10.2596 19.48 19.48 19.48
Element x y z (fractional)
La1 0.1053 0.1053 0.1053
La2 0.8947 0.8947 0.8947
Hf1 0.0000 0.0000 0.0000
Co1 0.5000 0.5000 0.5000

(28)
A relaxed LaHf2Co9 crystal, computed with PBE.

Properties
ΔE_f ... -0.2159 eV per atom
Energy ... -91.4 eV for the cell shown
D(E_F) ... 1.348 states/eV per atom
M_tot ... 9.4 μB/f.u.

Lattice parameters (Å, degrees): 8.4409 8.4409 8.4409 33.90 33.90 33.90
Element x y z (fractional)
La1 0.0000 0.0000 0.0000
Hf1 0.1410 0.1410 0.1410
Hf2 0.8590 0.8590 0.8590
Co1 0.0787 0.5901 0.5901
Co2 0.3360 0.3360 0.3360
Co3 0.4099 0.4099 0.9213
Co4 0.4099 0.9213 0.4099
Co5 0.5000 0.5000 0.5000
Co6 0.5901 0.0787 0.5901
Co7 0.5901 0.5901 0.0787
Co8 0.6640 0.6640 0.6640
Co9 0.9213 0.4099 0.4099